Material: NaZrAl2Te
Method: DFT, GGA-PBE
State: optimized geometry

Cell and atoms, written as POSCAR:
```
NaZrAl2Te
1.0
5.318 0.000 0.000
0.000 5.318 0.000
0.000 0.000 5.148
Na Zr Al Te
1 1 2 1
Cartesian
0.000 0.000 0.000 Na
2.659 2.659 0.000 Zr
0.000 2.659 2.574 Al
2.659 0.000 2.574 Al
0.000 0.000 2.574 Te
```

Properties
crystal system: tetragonal
E_form (uncorrected): 0.931 eV per atom